This record from Alexandria describes a relaxed FeMoPt2 crystal. The functional is PBE.

Summary:
Theoretical density (Mg/m³): 15.2
Space group: C2/m (12)

```
data_FeMoPt2
_symmetry_space_group_name_H-M 'P 1'
_symmetry_Int_Tables_number 1
_cell_length_a 4.785
_cell_length_b 4.785
_cell_length_c 4.736
_cell_angle_alpha 79.91
_cell_angle_beta 79.91
_cell_angle_gamma 33.65
loop_
_symmetry_equiv_pos_as_xyz
'x,y,z'
loop_
_atom_site_label
_atom_site_type_symbol
_atom_site_fract_x
_atom_site_fract_y
_atom_site_fract_z
Fe1 Fe 0.750 0.750 0.750
Mo1 Mo 0.250 0.250 0.250
Pt1 Pt 0.003 0.003 0.998
Pt2 Pt 0.497 0.497 0.502
```

This record from Alexandria describes a relaxed Cr2B2Os crystal. The functional is PBE.

Summary:
Theoretical density (Mg/m³): 10.8
Space group: P4/mnc (128)
ΔE to the lowest computed polymorph (meV/atom): 0.0

```
data_Cr2B2Os
_symmetry_space_group_name_H-M 'P 1'
_symmetry_Int_Tables_number 1
_cell_length_a 5.660
_cell_length_b 5.660
_cell_length_c 6.058
_cell_angle_alpha 90.00
_cell_angle_beta 90.00
_cell_angle_gamma 90.00
loop_
_symmetry_equiv_pos_as_xyz
'x,y,z'
loop_
_atom_site_label
_atom_site_type_symbol
_atom_site_fract_x
_atom_site_fract_y
_atom_site_fract_z
Cr1 Cr 0.653 0.817 0.500
Cr2 Cr 0.347 0.183 0.500
Cr3 Cr 0.847 0.317 0.000
Cr4 Cr 0.153 0.683 0.000
Cr5 Cr 0.817 0.347 0.500
Cr6 Cr 0.183 0.653 0.500
Cr7 Cr 0.317 0.153 0.000
Cr8 Cr 0.683 0.847 0.000
B1 B 0.384 0.884 0.250
B2 B 0.616 0.116 0.250
B3 B 0.116 0.384 0.750
B4 B 0.884 0.616 0.750
B5 B 0.884 0.616 0.250
B6 B 0.116 0.384 0.250
B7 B 0.384 0.884 0.750
B8 B 0.616 0.116 0.750
Os1 Os 0.500 0.500 0.218
Os2 Os 0.000 0.000 0.718
Os3 Os 0.500 0.500 0.782
Os4 Os 0.000 0.000 0.282
```

This record from Alexandria describes a relaxed AcYPd2 crystal. The functional is PBE.

Summary:
Theoretical density (Mg/m³): 8.6
Space group: Amm2 (38)
ΔE to the lowest computed polymorph (meV/atom): 0.0

```
data_AcYPd2
_symmetry_space_group_name_H-M 'P 1'
_symmetry_Int_Tables_number 1
_cell_length_a 3.959
_cell_length_b 4.659
_cell_length_c 5.880
_cell_angle_alpha 90.00
_cell_angle_beta 109.66
_cell_angle_gamma 90.00
loop_
_symmetry_equiv_pos_as_xyz
'x,y,z'
loop_
_atom_site_label
_atom_site_type_symbol
_atom_site_fract_x
_atom_site_fract_y
_atom_site_fract_z
Ac1 Ac 0.444 0.500 0.426
Y1 Y 0.716 0.000 0.970
Pd1 Pd 0.170 0.500 0.880
Pd2 Pd 0.001 0.000 0.541
```

Calculated total energy list, top to bottom, in eV per cell: -31.82 -181.53 -24.25
DFT formation energy list, top to bottom, in eV/atom: -0.11 -0.31 -0.82